# 1
# RbCoSbF6 | Alexandria via LeMat-Bulk | PBE with a Hubbard U | optimized geometry
# **Total energy**: -0.3500 Ry/atom
# **ρ**: 3.9 Mg/m³
data_RbCoSbF6
_chemical_formula_sum 'Rb1 Co1 Sb1 F6'
_cell_length_a 5.565
_cell_length_b 5.805
_cell_length_c 5.814
_cell_angle_alpha 119.52
_cell_angle_beta 90.23
_cell_angle_gamma 90.06
_symmetry_space_group_name_H-M 'P 1'
_symmetry_Int_Tables_number 1
_symmetry_space_group_name_Hall 'P 1'
loop_
_atom_site_label
_atom_site_fract_x
_atom_site_fract_y
_atom_site_fract_z
Rb1 0.000 0.000 0.000
Co1 0.548 0.333 0.668
Sb1 0.497 0.668 0.334
F1 0.367 0.647 0.944
F2 0.369 0.297 0.350
F3 0.371 0.052 0.706
F4 0.741 0.435 0.030
F5 0.741 0.594 0.570
F6 0.742 0.977 0.409

---

# 2
# RbScCoF6 | Alexandria via LeMat-Bulk | PBE with a Hubbard U | optimized geometry
# **Total energy**: -0.4220 Ry/atom
# **ρ**: 3.3 Mg/m³
data_RbScCoF6
_chemical_formula_sum 'Rb2 Sc2 Co2 F12'
_cell_length_a 7.614
_cell_length_b 7.614
_cell_length_c 7.614
_cell_angle_alpha 121.63
_cell_angle_beta 119.21
_cell_angle_gamma 89.29
_symmetry_space_group_name_H-M 'P 1'
_symmetry_Int_Tables_number 1
_symmetry_space_group_name_Hall 'P 1'
loop_
_atom_site_label
_atom_site_fract_x
_atom_site_fract_y
_atom_site_fract_z
Rb1 0.337 0.087 0.250
Rb2 0.663 0.913 0.750
Sc1 0.000 0.500 0.500
Sc2 0.500 0.500 0.000
Co1 0.000 0.000 0.500
Co2 0.000 0.500 0.000
F1 0.064 0.422 0.245
F2 0.064 0.819 0.642
F3 0.069 0.819 0.250
F4 0.317 0.567 0.750
F5 0.323 0.181 0.745
F6 0.323 0.578 0.142
F7 0.677 0.422 0.858
F8 0.677 0.819 0.255
F9 0.683 0.433 0.250
F10 0.931 0.181 0.750
F11 0.936 0.181 0.358
F12 0.936 0.578 0.755